1.
# RbNa2InBi | the Alexandria database | PBE | relaxed
# Formation enthalpy at 0 K ... -0.04 eV/atom
# DFT total energy ... -2.087 eV/atom
data_RbNa2InBi
_chemical_formula_sum 'Rb1 Na2 In1 Bi1'
_space_group_name_H-M_alt 'P 4/m m m'
_space_group_IT_number 123
_space_group_name_Hall '-P 4 2'
_cell_length_a 6.029
_cell_length_b 6.029
_cell_length_c 6.384
_cell_angle_alpha 90.00
_cell_angle_beta 90.00
_cell_angle_gamma 90.00
loop_
_atom_site_label
_atom_site_fract_x
_atom_site_fract_y
_atom_site_fract_z
Rb1 0.000 0.000 0.000
Na1 0.000 0.500 0.500
In1 0.500 0.500 0.000
Bi1 0.500 0.500 0.500

2.
# Cs2RbTl2 | the Alexandria database | PBE | relaxed
# Formation enthalpy at 0 K ... -0.04 eV/atom
# Offset from the most stable computed form ... 0 meV/atom
# DFT total energy ... -1.523 eV/atom
data_Cs2RbTl2
_chemical_formula_sum 'Cs4 Rb2 Tl4'
_space_group_name_H-M_alt 'C m m m'
_space_group_IT_number 65
_space_group_name_Hall '-C 2 2'
_cell_length_a 5.380
_cell_length_b 18.876
_cell_length_c 6.248
_cell_angle_alpha 90.00
_cell_angle_beta 90.00
_cell_angle_gamma 90.00
loop_
_atom_site_label
_atom_site_fract_x
_atom_site_fract_y
_atom_site_fract_z
Cs1 0.000 0.147 0.000
Rb1 0.000 0.500 0.500
Tl1 0.000 0.288 0.500

3.
# LiCdRe2 | the Alexandria database | PBE | relaxed
# Formation enthalpy at 0 K ... 0.39 eV/atom
# DFT total energy ... -6.539 eV/atom
data_LiCdRe2
_chemical_formula_sum 'Li2 Cd2 Re4'
_space_group_name_H-M_alt 'I m m m'
_space_group_IT_number 71
_space_group_name_Hall '-I 2 2'
_cell_length_a 3.133
_cell_length_b 4.194
_cell_length_c 9.477
_cell_angle_alpha 90.00
_cell_angle_beta 90.00
_cell_angle_gamma 90.00
loop_
_atom_site_label
_atom_site_fract_x
_atom_site_fract_y
_atom_site_fract_z
Li1 0.000 0.000 0.000
Cd1 0.000 0.000 0.500
Re1 0.000 0.500 0.255

4.
# SbPPdS2 | the Alexandria database | PBE | relaxed
# Offset from the most stable computed form ... 539 meV/atom
# DFT total energy ... -3.576 eV/atom
# Formation energy without anion corrections ... 1020 meV/atom
data_SbPPdS2
_chemical_formula_sum 'Sb1 P1 Pd1 S2'
_space_group_name_H-M_alt 'P 4/m m m'
_space_group_IT_number 123
_space_group_name_Hall '-P 4 2'
_cell_length_a 4.933
_cell_length_b 4.933
_cell_length_c 5.119
_cell_angle_alpha 90.00
_cell_angle_beta 90.00
_cell_angle_gamma 90.00
loop_
_atom_site_label
_atom_site_fract_x
_atom_site_fract_y
_atom_site_fract_z
Sb1 0.000 0.000 0.000
P1 0.000 0.000 0.500
Pd1 0.500 0.500 0.500
S1 0.000 0.500 0.000

5.
# TiAgGe3 | the Alexandria database | PBE | relaxed
# Formation enthalpy at 0 K ... 0.41 eV/atom
# Offset from the most stable computed form ... 0 meV/atom
# DFT total energy ... -4.514 eV/atom
data_TiAgGe3
_chemical_formula_sum 'Ti1 Ag1 Ge3'
_space_group_name_H-M_alt 'P m -3 m'
_space_group_IT_number 221
_space_group_name_Hall '-P 4 2 3'
_cell_length_a 4.908
_cell_length_b 4.908
_cell_length_c 4.908
_cell_angle_alpha 90.00
_cell_angle_beta 90.00
_cell_angle_gamma 90.00
loop_
_atom_site_label
_atom_site_fract_x
_atom_site_fract_y
_atom_site_fract_z
Ti1 0.000 0.000 0.000
Ag1 0.500 0.500 0.500
Ge1 0.000 0.000 0.500

6.
# SiHgW | the Alexandria database | PBE | relaxed
# Offset from the most stable computed form ... 102 meV/atom
# DFT total energy ... -5.620 eV/atom
# Formation energy without anion corrections ... 606 meV/atom
data_SiHgW
_chemical_formula_sum 'Si4 Hg4 W4'
_space_group_name_H-M_alt 'F m m 2'
_space_group_IT_number 42
_space_group_name_Hall 'F 2 -2'
_cell_length_a 3.201
_cell_length_b 4.460
_cell_length_c 16.986
_cell_angle_alpha 90.00
_cell_angle_beta 90.00
_cell_angle_gamma 90.00
loop_
_atom_site_label
_atom_site_fract_x
_atom_site_fract_y
_atom_site_fract_z
Si1 0.000 0.000 0.000
Hg1 0.000 0.000 0.278
W1 0.000 0.000 0.621

7.
# DyPaZnGe | the Alexandria database | PBE | relaxed
# Formation enthalpy at 0 K ... -0.24 eV/atom
# DFT total energy ... -5.242 eV/atom
data_DyPaZnGe
_chemical_formula_sum 'Dy4 Pa4 Zn4 Ge4'
_space_group_name_H-M_alt 'F -4 3 m'
_space_group_IT_number 216
_space_group_name_Hall 'F -4 2 3'
_cell_length_a 7.098
_cell_length_b 7.098
_cell_length_c 7.098
_cell_angle_alpha 90.00
_cell_angle_beta 90.00
_cell_angle_gamma 90.00
loop_
_atom_site_label
_atom_site_fract_x
_atom_site_fract_y
_atom_site_fract_z
Dy1 0.000 0.000 0.000
Pa1 0.000 0.000 0.500
Zn1 0.250 0.250 0.250
Ge1 0.250 0.250 0.750

8.
# Na2CaHgH | the Alexandria database | PBE | relaxed
# DFT total energy ... -1.895 eV/atom
data_Na2CaHgH
_chemical_formula_sum 'Na2 Ca1 Hg1 H1'
_space_group_name_H-M_alt 'P 4/m m m'
_space_group_IT_number 123
_space_group_name_Hall '-P 4 2'
_cell_length_a 4.758
_cell_length_b 4.758
_cell_length_c 4.908
_cell_angle_alpha 90.00
_cell_angle_beta 90.00
_cell_angle_gamma 90.00
loop_
_atom_site_label
_atom_site_fract_x
_atom_site_fract_y
_atom_site_fract_z
Na1 0.000 0.500 0.000
Ca1 0.000 0.000 0.500
Hg1 0.500 0.500 0.500
H1 0.000 0.000 0.000

9.
# K2Be2CdS4 | the Alexandria database | PBE | relaxed
# DFT total energy ... -3.992 eV/atom
# Formation energy without anion corrections ... -984 meV/atom
data_K2Be2CdS4
_chemical_formula_sum 'K4 Be4 Cd2 S8'
_space_group_name_H-M_alt 'C 1 2/m 1'
_space_group_IT_number 12
_cell_length_a 15.087
_cell_length_b 3.698
_cell_length_c 7.363
_cell_angle_alpha 90.00
_cell_angle_beta 110.50
_cell_angle_gamma 90.00
loop_
_space_group_symop_operation_xyz
'x,y,z'
'-x,-y,-z'
'-x,y,-z'
'x,-y,z'
'x+1/2,y+1/2,z'
'-x+1/2,-y+1/2,-z'
'-x+1/2,y+1/2,-z'
'x+1/2,-y+1/2,z'
loop_
_atom_site_label
_atom_site_fract_x
_atom_site_fract_y
_atom_site_fract_z
K1 0.125 0.000 0.027
Be1 0.179 0.500 0.480
Cd1 0.000 0.000 0.500
S1 0.039 0.500 0.286
S2 0.215 0.000 0.658

10.
# La3Tb2Nd2 | the Alexandria database | PBE | relaxed
# Formation enthalpy at 0 K ... 0.13 eV/atom
# Offset from the most stable computed form ... 109 meV/atom
# DFT total energy ... -4.667 eV/atom
data_La3Tb2Nd2
_chemical_formula_sum 'La6 Tb4 Nd4'
_space_group_name_H-M_alt 'C m m m'
_space_group_IT_number 65
_space_group_name_Hall '-C 2 2'
_cell_length_a 5.815
_cell_length_b 24.260
_cell_length_c 3.453
_cell_angle_alpha 90.00
_cell_angle_beta 90.00
_cell_angle_gamma 90.00
loop_
_atom_site_label
_atom_site_fract_x
_atom_site_fract_y
_atom_site_fract_z
La1 0.000 0.000 0.000
La2 0.000 0.283 0.000
Tb1 0.000 0.426 0.000
Nd1 0.000 0.139 0.500

11.
# ErTm3Co2 | the Alexandria database | PBE | relaxed
# Formation enthalpy at 0 K ... -0.19 eV/atom
# Offset from the most stable computed form ... 0 meV/atom
# DFT total energy ... -5.558 eV/atom
data_ErTm3Co2
_chemical_formula_sum 'Er4 Tm12 Co8'
_space_group_name_H-M_alt 'C 1 2/m 1'
_space_group_IT_number 12
_cell_length_a 16.115
_cell_length_b 3.715
_cell_length_c 11.334
_cell_angle_alpha 90.00
_cell_angle_beta 123.48
_cell_angle_gamma 90.00
loop_
_space_group_symop_operation_xyz
'x,y,z'
'-x,-y,-z'
'-x,y,-z'
'x,-y,z'
'x+1/2,y+1/2,z'
'-x+1/2,-y+1/2,-z'
'-x+1/2,y+1/2,-z'
'x+1/2,-y+1/2,z'
loop_
_atom_site_label
_atom_site_fract_x
_atom_site_fract_y
_atom_site_fract_z
Er1 0.159 0.000 0.245
Tm1 0.084 0.500 0.440
Tm2 0.084 0.500 0.939
Tm3 0.159 0.000 0.746
Co1 0.232 0.000 0.048
Co2 0.232 0.000 0.548

12.
# NaAlNiAs2 | the Alexandria database | PBE | relaxed
# Formation enthalpy at 0 K ... 0.34 eV/atom
# DFT total energy ... -3.688 eV/atom
data_NaAlNiAs2
_chemical_formula_sum 'Na1 Al1 Ni1 As2'
_space_group_name_H-M_alt 'P 4/m m m'
_space_group_IT_number 123
_space_group_name_Hall '-P 4 2'
_cell_length_a 4.921
_cell_length_b 4.921
_cell_length_c 4.528
_cell_angle_alpha 90.00
_cell_angle_beta 90.00
_cell_angle_gamma 90.00
loop_
_atom_site_label
_atom_site_fract_x
_atom_site_fract_y
_atom_site_fract_z
Na1 0.000 0.000 0.000
Al1 0.500 0.500 0.500
Ni1 0.500 0.500 0.000
As1 0.000 0.500 0.500

13.
# MnH2 | the Alexandria database | PBE | relaxed
# DFT total energy ... -5.221 eV/atom
data_MnH2
_chemical_formula_sum 'Mn1 H2'
_space_group_name_H-M_alt 'P -1'
_space_group_IT_number 2
_cell_length_a 2.560
_cell_length_b 2.561
_cell_length_c 4.330
_cell_angle_alpha 73.79
_cell_angle_beta 89.80
_cell_angle_gamma 60.02
loop_
_space_group_symop_operation_xyz
'x,y,z'
'-x,-y,-z'
loop_
_atom_site_label
_atom_site_fract_x
_atom_site_fract_y
_atom_site_fract_z
Mn1 0.000 0.000 0.000
H1 0.262 0.479 0.767

| no. | calculated density (kg/m3) |
| --- | --- |
| 1 | 3258 |
| 2 | 3978 |
| 3 | 13117 |
| 4 | 4309 |
| 5 | 5247 |
| 6 | 11299 |
| 7 | 9874 |
| 8 | 4299 |
| 9 | 2907 |
| 10 | 6976 |
| 11 | 9295 |
| 12 | 3914 |
| 13 | 4060 |